Crystalline Li4Ti2Fe3Sb3O16 at its relaxed geometry, computed with GGA-PBEsol.

```
Li4Ti2Fe3Sb3O16
1.0
6.0578 0.0000 0.0000
-3.0289 5.2374 0.1142
0.0000 -0.0659 9.4985
O Ti Fe Sb Li
16 2 3 3 4
Cartesian
1.7354 2.4946 3.2381 O
0.0000 1.6693 0.9211 O
1.4953 0.9691 5.6284 O
3.0289 5.0708 3.1103 O
0.0000 0.0042 7.5970 O
-1.2990 2.7318 8.0983 O
4.5625 0.9691 5.6284 O
0.0000 3.4906 5.7494 O
3.0289 3.4013 5.7001 O
-1.5573 4.2851 1.0690 O
3.0289 0.1000 3.2575 O
1.5573 4.2851 1.0690 O
4.3223 2.4946 3.2381 O
1.2990 2.7318 8.0983 O
3.0289 1.8608 1.0253 O
0.0000 5.1491 8.3926 O
3.0289 1.9047 4.7981 Ti
0.0000 3.5987 9.4021 Ti
-1.2891 4.4884 6.9162 Fe
3.0289 3.4189 2.1203 Fe
1.2891 4.4884 6.9162 Fe
4.5249 0.8384 2.0415 Sb
1.5328 0.8384 2.0415 Sb
0.0000 1.8089 6.8159 Sb
0.0000 3.4290 3.8187 Li
3.0289 5.1000 4.9299 Li
3.0289 4.7777 9.4297 Li
3.0289 1.8577 8.4933 Li
```

Results
DFT total energy in eV per cell: -198.819
Raw formation energy in eV/atom: -1.78
Crystal system: monoclinic